## RbZrAl (PBE-GGA)

Data for RbZrAl after structural relaxation.

Results
The density of states at the Fermi level comes out at 2.5 states/eV/cell. The calculated density comes out at 3.110 g/cm³. The formation energy is 0.82 eV per formula unit. As for the space group: P1. Its total energy is -24.87 eV for the cell shown.

Cell lengths 5.2791, 3.3943, 13.1673 Å; angles 79.40, 93.62, 71.10 degrees
Atoms (fractional coordinates):
Al 0.6498 0.5002 0.1472
Al 0.2259 0.2529 0.0904
Rb 0.7312 0.1400 0.8939
Rb 0.1209 0.9730 0.5515
Zr 0.5541 0.9237 0.3200
Zr 0.0789 0.7052 0.2609